A plane-wave DFT calculation with PBE was carried out for crystalline ZrMnRh2 at its relaxed geometry.

The structure belongs to space group I-42d (No. 122); the cell edges are 3.907, 3.907 and 17.356 Å and the angles 90.00°, 90.00° and 90.00°. The distinct sites, in fractional coordinates, are Zr at (0.000, 0.000, 0.000), Mn at (0.000, 0.000, 0.500) and Rh at (0.219, 0.250, 0.625).

The energy is -7.9270 eV per atom. Its formation energy is 0.7 eV/f.u.